MgMnTe2O8 | the Alexandria database | GGA+U | relaxed; space group = P-3m1 (164); total magnetization = 4.90 μB/cell; E = -0.4251 Ry/atom
1.0
5.758 0.000 0.000
-2.879 4.986 0.000
0.000 0.000 6.199
O Te Mg Mn
8 2 1 1
direct
0.845 0.690 0.227 O
0.667 0.333 0.603 O
0.690 0.845 0.773 O
0.155 0.310 0.773 O
0.845 0.155 0.227 O
0.310 0.155 0.227 O
0.155 0.845 0.773 O
0.333 0.667 0.397 O
0.333 0.667 0.688 Te
0.667 0.333 0.312 Te
0.000 0.000 0.000 Mg
0.000 0.000 0.500 Mn